{
  "formula": "Nd2SnPd",
  "functional": "GGA-PBE",
  "state": "relaxed",
  "lattice_angstrom": [[3.629, 0.000, 0.000], [0.000, 3.629, 0.000], [0.000, 0.000, 8.004]],
  "species": ["Nd", "Nd", "Sn", "Pd"],
  "fractional_positions": [[0.000, 0.000, 0.774], [0.000, 0.000, 0.226], [0.500, 0.500, 0.500], [0.500, 0.500, 0.000]],
  "rho_g_cm3": 8.1,
  "e_tot_ev_per_cell": -21.543
}

=====

{
  "formula": "NdSn3Pd",
  "functional": "GGA-PBE",
  "state": "relaxed",
  "lattice_angstrom": [[4.462, -0.001, 0.000], [0.002, 7.374, 0.000], [0.000, 0.000, 7.798]],
  "species": ["Nd", "Nd", "Sn", "Sn", "Sn", "Sn", "Sn", "Sn", "Pd", "Pd"],
  "fractional_positions": [[0.750, 0.250, 0.229], [0.250, 0.750, 0.771], [0.750, 0.750, 0.082], [0.250, 0.250, 0.918], [0.750, 0.043, 0.668], [0.750, 0.457, 0.668], [0.250, 0.957, 0.332], [0.250, 0.543, 0.332], [0.750, 0.750, 0.431], [0.250, 0.250, 0.569]],
  "rho_g_cm3": 7.9,
  "e_tot_ev_per_cell": -48.690
}

=====

{
  "formula": "NdSn6Pd12",
  "functional": "GGA-PBE",
  "state": "relaxed",
  "lattice_angstrom": [[-1.662, 6.061, 4.197], [-6.125, -4.417, 0.279], [5.368, -3.711, 3.809]],
  "species": ["Nd", "Sn", "Sn", "Sn", "Sn", "Sn", "Sn", "Pd", "Pd", "Pd", "Pd", "Pd", "Pd", "Pd", "Pd", "Pd", "Pd", "Pd", "Pd"],
  "fractional_positions": [[0.000, 0.000, 0.000], [0.699, 0.277, 0.277], [0.277, 0.277, 0.699], [0.277, 0.699, 0.277], [0.723, 0.723, 0.301], [0.301, 0.723, 0.723], [0.723, 0.301, 0.723], [0.884, 0.116, 0.500], [0.873, 0.626, 0.626], [0.626, 0.626, 0.873], [0.374, 0.127, 0.374], [0.374, 0.374, 0.127], [0.127, 0.374, 0.374], [0.116, 0.500, 0.884], [0.500, 0.884, 0.116], [0.116, 0.884, 0.500], [0.884, 0.500, 0.116], [0.500, 0.116, 0.884], [0.626, 0.873, 0.626]],
  "rho_g_cm3": 9.5,
  "e_tot_ev_per_cell": -99.847
}

=====

{
  "formula": "Nd2Sn5Pd3",
  "functional": "GGA-PBE",
  "state": "relaxed",
  "lattice_angstrom": [[6.599, 0.000, 0.000], [3.299, 8.490, 0.059], [3.299, 1.368, 8.379]],
  "species": ["Nd", "Nd", "Nd", "Nd", "Sn", "Sn", "Sn", "Sn", "Sn", "Sn", "Sn", "Sn", "Sn", "Sn", "Pd", "Pd", "Pd", "Pd", "Pd", "Pd"],
  "fractional_positions": [[0.142, 0.587, 0.129], [0.642, 0.129, 0.587], [0.858, 0.413, 0.871], [0.358, 0.871, 0.413], [0.409, 0.258, 0.923], [0.909, 0.923, 0.258], [0.591, 0.742, 0.077], [0.091, 0.077, 0.742], [0.473, 0.777, 0.777], [0.527, 0.223, 0.223], [0.750, 0.500, 0.500], [0.250, 0.500, 0.500], [0.027, 0.223, 0.223], [0.973, 0.777, 0.777], [0.358, 0.537, 0.746], [0.858, 0.746, 0.537], [0.642, 0.463, 0.254], [0.142, 0.254, 0.463], [0.250, 0.000, 0.000], [0.750, 0.000, 0.000]],
  "e_above_lowest_polymorph_mev_per_atom": 16.8,
  "rho_g_cm3": 8.5,
  "e_tot_ev_per_cell": -104.146
}

=====

{
  "formula": "Nd2SnPd6",
  "functional": "GGA-PBE",
  "state": "relaxed",
  "lattice_angstrom": [[5.836, 0.000, 0.000], [-2.918, 4.871, 1.113], [0.000, 0.086, 6.342]],
  "species": ["Nd", "Nd", "Sn", "Pd", "Pd", "Pd", "Pd", "Pd", "Pd"],
  "fractional_positions": [[0.643, 0.286, 0.169], [0.357, 0.714, 0.831], [0.000, 0.000, 0.000], [0.869, 0.266, 0.676], [0.872, 0.745, 0.686], [0.397, 0.266, 0.676], [0.131, 0.734, 0.324], [0.128, 0.255, 0.314], [0.603, 0.734, 0.324]],
  "e_above_lowest_polymorph_mev_per_atom": 0.0,
  "rho_g_cm3": 9.7,
  "e_tot_ev_per_cell": -51.213
}

=====

{
  "formula": "NdSn4Pd6",
  "functional": "GGA-PBE",
  "state": "relaxed",
  "lattice_angstrom": [[6.913, -0.121, -0.177], [-3.303, 6.074, 0.177], [-3.303, -2.068, 5.714]],
  "species": ["Nd", "Sn", "Sn", "Sn", "Sn", "Pd", "Pd", "Pd", "Pd", "Pd", "Pd"],
  "fractional_positions": [[0.000, 0.000, 0.000], [0.000, 0.119, 0.537], [0.583, 0.463, 0.463], [0.000, 0.537, 0.119], [0.417, 0.881, 0.881], [0.000, 0.759, 0.443], [0.000, 0.443, 0.759], [0.684, 0.241, 0.241], [0.500, 0.000, 0.500], [0.316, 0.557, 0.557], [0.500, 0.500, 0.000]],
  "e_above_lowest_polymorph_mev_per_atom": 147.7,
  "rho_g_cm3": 8.9,
  "e_tot_ev_per_cell": -57.384
}

=====

{
  "formula": "Nd2SnPd5",
  "functional": "GGA-PBE",
  "state": "relaxed",
  "lattice_angstrom": [[6.073, 0.126, 0.179], [-2.880, 5.348, -0.179], [-2.880, -1.988, 4.968]],
  "species": ["Nd", "Nd", "Sn", "Pd", "Pd", "Pd", "Pd", "Pd"],
  "fractional_positions": [[0.500, 0.255, 0.755], [0.500, 0.755, 0.255], [0.000, 0.906, 0.906], [0.435, 0.732, 0.732], [0.000, 0.732, 0.297], [0.000, 0.297, 0.732], [0.565, 0.297, 0.297], [0.000, 0.250, 0.250]],
  "rho_g_cm3": 9.5,
  "e_tot_ev_per_cell": -45.244
}

=====

{
  "formula": "Nd3SnPd4",
  "functional": "GGA-PBE",
  "state": "relaxed",
  "lattice_angstrom": [[3.977, 0.000, 0.000], [0.000, 6.738, 0.000], [-1.988, -3.369, 7.412]],
  "species": ["Nd", "Nd", "Nd", "Sn", "Pd", "Pd", "Pd", "Pd"],
  "fractional_positions": [[0.189, 0.189, 0.378], [0.811, 0.811, 0.622], [0.000, 0.500, 0.000], [0.500, 0.000, 0.000], [0.374, 0.574, 0.748], [0.626, 0.426, 0.252], [0.626, 0.826, 0.252], [0.374, 0.174, 0.748]],
  "rho_g_cm3": 8.2,
  "e_tot_ev_per_cell": -44.550
}

=====

{
  "formula": "NdSnPd6",
  "functional": "GGA-PBE",
  "state": "relaxed",
  "lattice_angstrom": [[4.117, 0.000, 0.000], [0.000, 5.800, -0.653], [0.000, 0.653, 5.800]],
  "species": ["Nd", "Sn", "Pd", "Pd", "Pd", "Pd", "Pd", "Pd"],
  "fractional_positions": [[0.500, 0.000, 0.000], [0.500, 0.500, 0.500], [0.500, 0.000, 0.500], [0.500, 0.500, 0.000], [0.000, 0.258, 0.258], [0.000, 0.742, 0.742], [0.000, 0.742, 0.258], [0.000, 0.258, 0.742]],
  "e_above_lowest_polymorph_mev_per_atom": 0.0,
  "rho_g_cm3": 10.7,
  "e_tot_ev_per_cell": -44.822
}

=====

{
  "formula": "Nd2Sn3Pd5",
  "functional": "GGA-PBE",
  "state": "relaxed",
  "lattice_angstrom": [[-0.929, -3.940, 4.708], [7.058, 0.001, 5.488], [-3.740, 4.254, 6.917]],
  "species": ["Nd", "Nd", "Nd", "Nd", "Sn", "Sn", "Sn", "Sn", "Sn", "Sn", "Pd", "Pd", "Pd", "Pd", "Pd", "Pd", "Pd", "Pd", "Pd", "Pd"],
  "fractional_positions": [[0.127, 0.599, 0.146], [0.627, 0.146, 0.599], [0.873, 0.401, 0.854], [0.373, 0.854, 0.401], [0.362, 0.520, 0.757], [0.862, 0.757, 0.520], [0.638, 0.480, 0.243], [0.138, 0.243, 0.480], [0.250, 0.000, 0.000], [0.750, 0.000, 0.000], [0.393, 0.268, 0.946], [0.893, 0.946, 0.268], [0.607, 0.732, 0.054], [0.107, 0.054, 0.732], [0.477, 0.773, 0.773], [0.523, 0.227, 0.227], [0.750, 0.500, 0.500], [0.250, 0.500, 0.500], [0.023, 0.227, 0.227], [0.977, 0.773, 0.773]],
  "e_above_lowest_polymorph_mev_per_atom": 17.9,
  "rho_g_cm3": 9.0,
  "e_tot_ev_per_cell": -109.338
}

=====

{
  "formula": "Nd3SnPd",
  "functional": "GGA-PBE",
  "state": "relaxed",
  "lattice_angstrom": [[-3.625, 3.159, 5.731], [-2.321, -6.480, -2.931], [6.754, -3.037, 1.059]],
  "species": ["Nd", "Nd", "Nd", "Nd", "Nd", "Nd", "Sn", "Sn", "Pd", "Pd"],
  "fractional_positions": [[0.032, 0.264, 0.732], [0.032, 0.800, 0.268], [0.532, 0.764, 0.732], [0.070, 0.281, 0.289], [0.532, 0.300, 0.268], [0.992, 0.781, 0.711], [0.559, 0.782, 0.278], [0.504, 0.282, 0.722], [0.531, 0.032, 0.999], [0.032, 0.532, 0.001]],
  "rho_g_cm3": 7.4,
  "e_tot_ev_per_cell": -51.171
}

=====

{
  "formula": "Nd3SnPd5",
  "functional": "GGA-PBE",
  "state": "relaxed",
  "lattice_angstrom": [[-3.705, -7.331, -1.373], [2.407, -2.627, 7.527], [-4.395, 7.088, -0.728]],
  "species": ["Nd", "Nd", "Nd", "Nd", "Nd", "Nd", "Sn", "Sn", "Pd", "Pd", "Pd", "Pd", "Pd", "Pd", "Pd", "Pd", "Pd", "Pd"],
  "fractional_positions": [[0.630, 0.130, 0.000], [0.370, 0.870, 0.000], [0.870, 0.630, 0.000], [0.130, 0.370, 0.000], [0.250, 0.250, 0.500], [0.750, 0.750, 0.500], [0.750, 0.250, 0.500], [0.250, 0.750, 0.500], [0.050, 0.550, 0.712], [0.662, 0.162, 0.712], [0.162, 0.050, 0.712], [0.550, 0.662, 0.712], [0.950, 0.450, 0.288], [0.338, 0.838, 0.288], [0.838, 0.950, 0.288], [0.450, 0.338, 0.288], [0.500, 0.500, 0.000], [0.000, 0.000, 0.000]],
  "rho_g_cm3": 8.7,
  "e_tot_ev_per_cell": -98.228
}

=====

{
  "formula": "Nd2Sn7Pd12",
  "functional": "GGA-PBE",
  "state": "relaxed",
  "lattice_angstrom": [[-1.066, -1.893, 3.467], [-10.121, -1.166, -3.749], [7.418, -7.690, -1.918]],
  "species": ["Nd", "Nd", "Sn", "Sn", "Sn", "Sn", "Sn", "Sn", "Sn", "Pd", "Pd", "Pd", "Pd", "Pd", "Pd", "Pd", "Pd", "Pd", "Pd", "Pd", "Pd"],
  "fractional_positions": [[0.240, 0.333, 0.667], [0.760, 0.667, 0.333], [0.500, 0.000, 0.000], [0.259, 0.884, 0.291], [0.259, 0.407, 0.116], [0.259, 0.709, 0.593], [0.741, 0.116, 0.709], [0.741, 0.593, 0.884], [0.741, 0.291, 0.407], [0.245, 0.622, 0.062], [0.245, 0.440, 0.378], [0.245, 0.938, 0.560], [0.755, 0.378, 0.938], [0.755, 0.560, 0.622], [0.755, 0.062, 0.440], [0.237, 0.116, 0.259], [0.237, 0.144, 0.884], [0.237, 0.741, 0.856], [0.763, 0.884, 0.741], [0.763, 0.856, 0.116], [0.763, 0.259, 0.144]],
  "rho_g_cm3": 9.5,
  "e_tot_ev_per_cell": -112.931
}

=====

{
  "formula": "SrNdSnPd",
  "functional": "GGA-PBE",
  "state": "relaxed",
  "lattice_angstrom": [[-3.391, -3.410, -2.470], [1.798, -3.195, -3.974], [0.456, -5.326, 0.810]],
  "species": ["Sr", "Nd", "Sn", "Pd"],
  "fractional_positions": [[0.250, 0.250, 0.250], [0.750, 0.750, 0.750], [0.500, 0.500, 0.500], [0.000, 0.000, 0.000]],
  "rho_g_cm3": 6.8,
  "e_tot_ev_per_cell": -18.040
}

=====

{
  "formula": "Nd2TmSn3Pd4",
  "functional": "GGA-PBE",
  "state": "relaxed",
  "lattice_angstrom": [[-4.112, -1.375, -1.491], [2.018, -3.115, -2.692], [-0.497, -7.415, 8.208]],
  "species": ["Nd", "Nd", "Tm", "Sn", "Sn", "Sn", "Pd", "Pd", "Pd", "Pd"],
  "fractional_positions": [[0.500, 0.000, 0.223], [0.000, 0.500, 0.777], [0.500, 0.500, 0.500], [0.000, 0.000, 0.500], [0.500, 0.000, 0.874], [0.000, 0.500, 0.126], [0.500, 0.500, 0.000], [0.000, 0.000, 0.000], [0.500, 0.000, 0.640], [0.000, 0.500, 0.360]],
  "rho_g_cm3": 8.8,
  "e_tot_ev_per_cell": -54.893
}

=====

{
  "formula": "NdZnSnPd3",
  "functional": "GGA-PBE",
  "state": "relaxed",
  "lattice_angstrom": [[-2.471, -3.865, 4.671], [1.811, -4.786, -3.003], [4.596, 2.561, 4.551]],
  "species": ["Nd", "Nd", "Zn", "Zn", "Sn", "Sn", "Pd", "Pd", "Pd", "Pd", "Pd", "Pd"],
  "fractional_positions": [[0.750, 0.321, 0.641], [0.250, 0.679, 0.359], [0.250, 0.919, 0.838], [0.750, 0.081, 0.162], [0.250, 0.362, 0.724], [0.750, 0.638, 0.276], [0.250, 0.151, 0.302], [0.000, 0.264, 0.000], [0.500, 0.736, 0.000], [0.500, 0.264, 0.000], [0.000, 0.736, 0.000], [0.750, 0.849, 0.698]],
  "rho_g_cm3": 8.8,
  "e_tot_ev_per_cell": -57.653
}

=====

{
  "formula": "Nd2ZnSn3Pd4",
  "functional": "GGA-PBE",
  "state": "relaxed",
  "lattice_angstrom": [[-1.888, 2.687, -3.111], [-1.837, -3.614, -2.007], [-8.684, 1.006, 6.139]],
  "species": ["Nd", "Nd", "Zn", "Sn", "Sn", "Sn", "Pd", "Pd", "Pd", "Pd"],
  "fractional_positions": [[0.500, 0.000, 0.251], [0.000, 0.500, 0.749], [0.500, 0.500, 0.500], [0.000, 0.000, 0.500], [0.500, 0.000, 0.867], [0.000, 0.500, 0.133], [0.500, 0.500, 0.000], [0.000, 0.000, 0.000], [0.500, 0.000, 0.625], [0.000, 0.500, 0.375]],
  "rho_g_cm3": 8.6,
  "e_tot_ev_per_cell": -50.954
}

=====

{
  "formula": "Nd2Zn3SnPd4",
  "functional": "GGA-PBE",
  "state": "relaxed",
  "lattice_angstrom": [[4.362, 0.000, 0.000], [0.000, 4.362, 0.000], [0.000, 0.000, 10.572]],
  "species": ["Nd", "Nd", "Zn", "Zn", "Zn", "Sn", "Pd", "Pd", "Pd", "Pd"],
  "fractional_positions": [[0.500, 0.000, 0.239], [0.000, 0.500, 0.761], [0.000, 0.000, 0.500], [0.500, 0.000, 0.876], [0.000, 0.500, 0.124], [0.500, 0.500, 0.500], [0.500, 0.500, 0.000], [0.000, 0.000, 0.000], [0.500, 0.000, 0.642], [0.000, 0.500, 0.358]],
  "rho_g_cm3": 8.5,
  "e_tot_ev_per_cell": -44.484
}

=====

{
  "formula": "NdZnSnPd",
  "functional": "GGA-PBE",
  "state": "relaxed",
  "lattice_angstrom": [[4.931, 0.000, 0.000], [2.466, 4.271, 0.000], [2.466, 1.424, 4.027]],
  "species": ["Zn", "Nd", "Sn", "Pd"],
  "fractional_positions": [[0.250, 0.250, 0.250], [0.000, 0.000, 0.000], [0.500, 0.500, 0.500], [0.750, 0.750, 0.750]],
  "rho_g_cm3": 8.5,
  "e_tot_ev_per_cell": -17.651
}

=====

{
  "formula": "SrNdPd2",
  "functional": "GGA-PBE",
  "state": "relaxed",
  "lattice_angstrom": [[4.262, 0.000, 0.000], [2.131, 3.691, 0.000], [2.131, 1.230, 7.177]],
  "species": ["Sr", "Nd", "Pd", "Pd"],
  "fractional_positions": [[0.000, 0.000, 0.000], [0.500, 0.500, 0.500], [0.758, 0.758, 0.726], [0.242, 0.242, 0.274]],
  "e_above_lowest_polymorph_mev_per_atom": 126.0,
  "rho_g_cm3": 6.5,
  "e_tot_ev_per_cell": -19.109
}